Compound: MgFe
Source: the Alexandria database
Functional: GGA-PBEsol
Structure: relaxed

CIF file:
```
data_MgFe
_cell_length_a 10.4287
_cell_length_b 3.0441
_cell_length_c 6.0783
_cell_angle_alpha 90.00
_cell_angle_beta 106.82
_cell_angle_gamma 90.00
_space_group_name_H-M_alt 'C 1 m 1'
_space_group_IT_number 8
_space_group_name_Hall 'C -2y'
loop_
_atom_site_label
_atom_site_fract_x
_atom_site_fract_y
_atom_site_fract_z
Mg1 0.0000 0.0000 0.0000
Mg2 0.0206 0.0000 0.4867
Mg3 0.3107 0.0000 0.6360
Fe1 0.1880 0.5000 0.2798
Fe2 0.1881 0.5000 0.8815
Fe3 0.3190 0.0000 0.1511
```

Calculated values
Size of the total moment = 2.3 μB/f.u.
Calculated volume = 184.7 Å³/cell
Theoretical density = 4.3 g/cm3
E = -5.11 eV/atom
D(E_F) = 0.568 states/eV per atom

---

Compound: CrFeBi2O6
Source: the Alexandria database
Functional: GGA-PBEsol
Structure: relaxed

CIF file:
```
data_CrFeBi2O6
_cell_length_a 5.5201
_cell_length_b 5.5201
_cell_length_c 13.5216
_cell_angle_alpha 90.00
_cell_angle_beta 90.00
_cell_angle_gamma 120.00
_space_group_name_H-M_alt 'R 3'
_space_group_IT_number 146
_space_group_name_Hall 'R 3'
loop_
_atom_site_label
_atom_site_fract_x
_atom_site_fract_y
_atom_site_fract_z
Cr1 0.0000 0.0000 0.0000
Fe1 0.0000 0.0000 0.4945
Bi1 0.0000 0.0000 0.2250
Bi2 0.0000 0.0000 0.7220
O1 0.0113 0.4340 0.2615
O2 0.0195 0.5800 0.7589
```

Calculated values
Size of the total moment = 7.4 μB/f.u.
Uncorrected formation energy = -1.39 eV per atom
Calculated volume = 356.8 Å³/cell
Theoretical density = 8.7 g/cm3
E = -7.32 eV/atom
D(E_F) = 0.664 states/eV per atom